Entry one
A geometry-optimized Pm2SeBr structure. Source: Alexandria via LeMat-Bulk, functional GGA-PBE.

abc: 8.290 8.290 8.290
angles: 27.78 27.78 27.78
Positions (direct):
Pm  0.000  0.000  0.000
Pm  0.188  0.188  0.188
Se  0.593  0.593  0.593
Br  0.427  0.427  0.427

---

Entry two
A geometry-optimized Pm2SeBr structure. Source: Alexandria via LeMat-Bulk, functional GGA-PBE.

abc: 8.077 8.077 8.077
angles: 29.17 29.17 29.17
Positions (direct):
Pm  0.237  0.237  0.237
Pm  0.763  0.763  0.763
Se  0.500  0.500  0.500
Br  0.000  0.000  0.000

---

Entry three
A geometry-optimized Pm2SeBr structure. Source: Alexandria via LeMat-Bulk, functional GGA-PBE.

abc: 4.687 4.687 8.079
angles: 106.73 106.73 60.28
Positions (direct):
Pm  0.000  0.000  0.000
Pm  0.549  0.549  0.646
Se  0.865  0.865  0.592
Br  0.407  0.407  0.221

---

Entry four
A geometry-optimized Pm2SeBr structure. Source: Alexandria via LeMat-Bulk, functional GGA-PBE.

abc: 5.148 5.148 3.668
angles: 90.00 90.00 90.00
Positions (direct):
Pm  0.000  0.500  0.000
Pm  0.500  0.000  0.000
Se  0.000  0.000  0.500
Br  0.500  0.500  0.500

---

The structure with the least stability is entry three.

---

Entry one
A geometry-optimized Pm2SeBr3 structure. Source: Alexandria via LeMat-Bulk, functional GGA-PBE.

abc: 10.910 4.124 11.472
angles: 90.00 114.66 90.00
Positions (direct):
Pm  0.028  0.250  0.333
Pm  0.198  0.250  0.114
Pm  0.802  0.750  0.886
Pm  0.972  0.750  0.667
Se  0.021  0.750  0.152
Se  0.979  0.250  0.848
Br  0.152  0.250  0.622
Br  0.314  0.250  0.390
Br  0.343  0.750  0.044
Br  0.657  0.250  0.956
Br  0.686  0.750  0.610
Br  0.848  0.750  0.378

---

Entry two
A geometry-optimized Pm2SeBr3 structure. Source: Alexandria via LeMat-Bulk, functional GGA-PBE.

abc: 9.072 9.072 12.753
angles: 123.45 123.45 27.12
Positions (direct):
Pm  0.105  0.105  0.450
Pm  0.348  0.348  0.138
Pm  0.652  0.652  0.862
Pm  0.895  0.895  0.550
Se  0.094  0.094  0.671
Se  0.906  0.906  0.329
Br  0.148  0.148  0.025
Br  0.259  0.259  0.390
Br  0.448  0.448  0.746
Br  0.552  0.552  0.254
Br  0.741  0.741  0.610
Br  0.852  0.852  0.975

---

The structure with the least stability is entry two.

---

Entry one
A geometry-optimized PmSmSeBr structure. Source: Alexandria via LeMat-Bulk, functional GGA-PBE.

abc: 3.952 3.952 8.291
angles: 103.61 103.61 60.25
Positions (direct):
Pm  0.000  0.000  0.000
Sm  0.186  0.186  0.562
Se  0.593  0.593  0.782
Br  0.761  0.761  0.284

---

Entry two
A geometry-optimized PmSmSeBr structure. Source: Alexandria via LeMat-Bulk, functional GGA-PBE.

abc: 5.147 5.147 5.147
angles: 60.00 60.00 60.00
Positions (direct):
Pm  0.000  0.000  0.000
Sm  0.500  0.500  0.500
Se  0.750  0.750  0.750
Br  0.250  0.250  0.250

---

The structure with the least stability is entry two.